# 1
The following is a PBE calculation of a geometry-optimized Li2AgCl structure, from Alexandria.

The structure in CIF format:
```
data_Li2AgCl
_cell_length_a 4.776
_cell_length_b 4.776
_cell_length_c 4.776
_cell_angle_alpha 60.00
_cell_angle_beta 60.00
_cell_angle_gamma 60.00
_symmetry_space_group_name_H-M 'P 1'
_symmetry_Int_Tables_number 1
loop_
_symmetry_equiv_pos_as_xyz
'x,y,z'
loop_
_atom_site_label
_atom_site_fract_x
_atom_site_fract_y
_atom_site_fract_z
Ag1 0.500 0.500 0.500
Li1 0.750 0.750 0.750
Li2 0.250 0.250 0.250
Cl1 0.000 0.000 0.000
```

Values from the calculation:
Its magnetization is 0.00 μB per cell. The calculated density is 3.390 g/cm³. The calculation puts the uncorrected formation energy at -0.53 eV per atom. The space group is No. 225. The value obtained for the electronic total energy is -2.66 eV per atom.

# 2
The following is a PBE calculation of a geometry-optimized Li5AgCl8 structure, from Alexandria.

The structure in CIF format:
```
data_Li5AgCl8
_cell_length_a 7.455
_cell_length_b 7.455
_cell_length_c 7.455
_cell_angle_alpha 60.00
_cell_angle_beta 60.00
_cell_angle_gamma 60.00
_symmetry_space_group_name_H-M 'P 1'
_symmetry_Int_Tables_number 1
loop_
_symmetry_equiv_pos_as_xyz
'x,y,z'
loop_
_atom_site_label
_atom_site_fract_x
_atom_site_fract_y
_atom_site_fract_z
Cl1 0.385 0.385 0.844
Cl2 0.870 0.870 0.870
Cl3 0.870 0.870 0.391
Cl4 0.870 0.391 0.870
Cl5 0.844 0.385 0.385
Cl6 0.385 0.385 0.385
Cl7 0.385 0.844 0.385
Cl8 0.391 0.870 0.870
Li1 0.636 0.092 0.636
Li2 0.636 0.636 0.636
Li3 0.000 0.000 0.000
Li4 0.092 0.636 0.636
Li5 0.636 0.636 0.092
Ag1 0.250 0.250 0.250
```

Values from the calculation:
Its magnetization is 0.01 μB per cell. The calculated density is 2.416 g/cm³. The calculation puts the uncorrected formation energy at -1.25 eV per atom. The space group is No. 216. The value obtained for the electronic total energy is -3.20 eV per atom.

# 3
The following is a PBE calculation of a geometry-optimized LiAg3Cl structure, from Alexandria.

The structure in CIF format:
```
data_LiAg3Cl
_cell_length_a 5.139
_cell_length_b 5.139
_cell_length_c 5.139
_cell_angle_alpha 90.00
_cell_angle_beta 90.00
_cell_angle_gamma 90.00
_symmetry_space_group_name_H-M 'P 1'
_symmetry_Int_Tables_number 1
loop_
_symmetry_equiv_pos_as_xyz
'x,y,z'
loop_
_atom_site_label
_atom_site_fract_x
_atom_site_fract_y
_atom_site_fract_z
Ag1 0.500 0.000 0.000
Ag2 0.000 0.500 0.000
Ag3 0.000 0.000 0.500
Cl1 0.000 0.000 0.000
Li1 0.500 0.500 0.500
```

Values from the calculation:
Its magnetization is 0.00 μB per cell. The calculated density is 4.479 g/cm³. The calculation puts the uncorrected formation energy at 0.49 eV per atom. The space group is No. 221. The value obtained for the electronic total energy is -1.97 eV per atom.

# 4
The following is a PBE calculation of a geometry-optimized Li2AgCl structure, from Alexandria.

The structure in CIF format:
```
data_Li2AgCl
_cell_length_a 6.557
_cell_length_b 6.557
_cell_length_c 6.188
_cell_angle_alpha 58.01
_cell_angle_beta 58.01
_cell_angle_gamma 90.00
_symmetry_space_group_name_H-M 'P 1'
_symmetry_Int_Tables_number 1
loop_
_symmetry_equiv_pos_as_xyz
'x,y,z'
loop_
_atom_site_label
_atom_site_fract_x
_atom_site_fract_y
_atom_site_fract_z
Li1 0.875 0.826 0.750
Li2 0.174 0.625 0.250
Li3 0.375 0.424 0.750
Li4 0.576 0.125 0.250
Cl1 0.500 0.500 0.000
Cl2 0.250 0.750 0.500
Ag1 0.750 0.250 0.500
Ag2 0.000 0.000 0.000
```

Values from the calculation:
Its magnetization is 0.00 μB per cell. The calculated density is 2.964 g/cm³. The calculation puts the uncorrected formation energy at -0.73 eV per atom. The space group is No. 122. The value obtained for the electronic total energy is -2.86 eV per atom.

# 5
The following is a PBE calculation of a geometry-optimized Li5Ag3Cl12 structure, from Alexandria.

The structure in CIF format:
```
data_Li5Ag3Cl12
_cell_length_a 13.493
_cell_length_b 13.493
_cell_length_c 13.493
_cell_angle_alpha 109.47
_cell_angle_beta 109.47
_cell_angle_gamma 109.47
_symmetry_space_group_name_H-M 'P 1'
_symmetry_Int_Tables_number 1
loop_
_symmetry_equiv_pos_as_xyz
'x,y,z'
loop_
_atom_site_label
_atom_site_fract_x
_atom_site_fract_y
_atom_site_fract_z
Ag1 0.750 0.875 0.625
Ag2 0.250 0.625 0.875
Ag3 0.375 0.625 0.250
Ag4 0.875 0.750 0.125
Ag5 0.875 0.125 0.250
Ag6 0.125 0.875 0.750
Ag7 0.375 0.750 0.625
Ag8 0.125 0.250 0.875
Ag9 0.625 0.250 0.375
Ag10 0.750 0.375 0.125
Ag11 0.625 0.375 0.750
Ag12 0.250 0.125 0.375
Cl1 0.469 0.667 0.121
Cl2 0.167 0.047 0.698
Cl3 0.379 0.031 0.333
Cl4 0.547 0.698 0.667
Cl5 0.969 0.349 0.302
Cl6 0.302 0.453 0.833
Cl7 0.302 0.849 0.969
Cl8 0.031 0.379 0.833
Cl9 0.849 0.302 0.469
Cl10 0.879 0.833 0.531
Cl11 0.031 0.651 0.698
Cl12 0.621 0.969 0.667
Cl13 0.198 0.531 0.651
Cl14 0.121 0.167 0.469
Cl15 0.453 0.151 0.621
Cl16 0.833 0.953 0.302
Cl17 0.651 0.621 0.953
Cl18 0.547 0.849 0.379
Cl19 0.047 0.167 0.198
Cl20 0.531 0.198 0.151
Cl21 0.333 0.531 0.379
Cl22 0.349 0.379 0.047
Cl23 0.833 0.879 0.031
Cl24 0.151 0.698 0.531
Cl25 0.469 0.802 0.849
Cl26 0.698 0.151 0.031
Cl27 0.698 0.547 0.167
Cl28 0.333 0.802 0.453
Cl29 0.802 0.469 0.349
Cl30 0.953 0.121 0.651
Cl31 0.802 0.333 0.953
Cl32 0.849 0.547 0.879
Cl33 0.047 0.879 0.349
Cl34 0.349 0.969 0.802
Cl35 0.667 0.198 0.547
Cl36 0.453 0.302 0.333
Cl37 0.167 0.121 0.969
Cl38 0.651 0.031 0.198
Cl39 0.953 0.833 0.802
Cl40 0.879 0.047 0.849
Cl41 0.667 0.469 0.621
Cl42 0.969 0.621 0.167
Cl43 0.531 0.333 0.879
Cl44 0.121 0.953 0.151
Cl45 0.379 0.349 0.547
Cl46 0.151 0.453 0.121
Cl47 0.198 0.667 0.047
Cl48 0.621 0.651 0.453
Li1 0.750 0.125 0.875
Li2 0.875 0.625 0.750
Li3 0.375 0.250 0.125
Li4 0.000 0.500 0.500
Li5 0.625 0.875 0.250
Li6 0.500 0.000 0.500
Li7 0.000 0.500 0.000
Li8 0.250 0.375 0.625
Li9 0.750 0.625 0.375
Li10 0.250 0.875 0.125
Li11 0.375 0.125 0.750
Li12 0.125 0.750 0.375
Li13 0.500 0.500 0.000
Li14 0.625 0.750 0.875
Li15 0.125 0.375 0.250
Li16 0.500 0.500 0.500
Li17 0.000 0.000 0.500
Li18 0.500 0.000 0.000
Li19 0.875 0.250 0.625
Li20 0.000 0.000 0.000
```

Values from the calculation:
Its magnetization is 7.35 μB per cell. The calculated density is 2.753 g/cm³. The calculation puts the uncorrected formation energy at -0.88 eV per atom. The space group is No. 230. The value obtained for the electronic total energy is -2.90 eV per atom.

# 6
The following is a PBE calculation of a geometry-optimized LiAg4Cl8 structure, from Alexandria.

The structure in CIF format:
```
data_LiAg4Cl8
_cell_length_a 8.277
_cell_length_b 7.415
_cell_length_c 7.145
_cell_angle_alpha 90.00
_cell_angle_beta 118.31
_cell_angle_gamma 116.62
_symmetry_space_group_name_H-M 'P 1'
_symmetry_Int_Tables_number 1
loop_
_symmetry_equiv_pos_as_xyz
'x,y,z'
loop_
_atom_site_label
_atom_site_fract_x
_atom_site_fract_y
_atom_site_fract_z
Cl1 0.999 0.266 0.246
Cl2 0.001 0.734 0.754
Cl3 0.489 0.244 0.760
Cl4 0.511 0.756 0.240
Cl5 0.526 0.263 0.252
Cl6 0.474 0.737 0.748
Cl7 0.000 0.266 0.754
Cl8 0.000 0.734 0.246
Li1 0.000 0.500 0.500
Ag1 0.000 0.000 0.000
Ag2 0.500 0.500 0.000
Ag3 0.500 0.000 0.000
Ag4 0.000 0.500 0.000
```

Values from the calculation:
Its magnetization is 2.04 μB per cell. The calculated density is 3.607 g/cm³. The calculation puts the uncorrected formation energy at -0.56 eV per atom. The space group is No. 12. The value obtained for the electronic total energy is -2.72 eV per atom.